Record 1
Here is a geometry-optimized La2Pr2SmDy structure from the Alexandria database. Energies are from GGA-PBE.

POSCAR file:
```
La2Pr2SmDy
1.0
-2.104 -5.422 0.216
6.159 -2.497 -2.685
3.654 -1.045 9.354
La Dy Pr Sm
4 2 4 2
direct
0.500 0.008 0.000
0.000 0.758 0.827
0.500 0.508 0.000
0.000 0.258 0.173
0.500 0.757 0.339
0.500 0.257 0.661
0.500 0.758 0.668
0.500 0.258 0.332
0.000 0.258 0.835
0.000 0.758 0.165
0.000 0.507 0.500
0.000 0.007 0.500
```

Computed properties:
Total magnetic moment, μB per formula unit: 0.000
Crystal system: orthorhombic
ΔE_f, eV per atom: 0.050
Total DFT energy (no corrections), eV/f.u.: -28.44

=====

Record 2
Here is a geometry-optimized LaPr6Sm3Dy2 structure from the Alexandria database. Energies are from GGA-PBE.

POSCAR file:
```
LaPr6Sm3Dy2
1.0
-4.627 4.344 -0.514
-1.014 -5.977 -1.948
-2.038 -2.342 11.723
La Sm Pr Dy
1 3 6 2
direct
0.000 0.000 0.000
0.500 0.500 0.500
0.833 0.167 0.500
0.167 0.833 0.500
0.917 0.582 0.750
0.251 0.251 0.750
0.582 0.917 0.750
0.749 0.749 0.250
0.083 0.418 0.250
0.418 0.083 0.250
0.334 0.666 0.000
0.666 0.334 0.000
```

Computed properties:
Total magnetic moment, μB per formula unit: 0.000
Crystal system: monoclinic
ΔE_f, eV per atom: 0.015
Total DFT energy (no corrections), eV/f.u.: -56.78

=====

Record 3
Here is a geometry-optimized LaPrSm5Dy2 structure from the Alexandria database. Energies are from GGA-PBE.

POSCAR file:
```
LaPrSm5Dy2
1.0
-5.374 1.664 6.752
2.735 -7.340 3.985
7.165 6.987 -1.740
Sm Pr Dy La
10 2 4 2
direct
0.830 0.935 0.265
0.000 0.000 0.000
0.500 0.500 0.000
0.170 0.065 0.735
0.435 0.330 0.265
0.565 0.670 0.735
0.935 0.435 0.265
0.065 0.565 0.735
0.330 0.830 0.265
0.670 0.170 0.735
0.250 0.750 0.500
0.750 0.250 0.500
0.120 0.380 0.000
0.880 0.620 0.000
0.620 0.120 0.000
0.380 0.880 0.000
0.750 0.750 0.500
0.250 0.250 0.500
```

Computed properties:
Total magnetic moment, μB per formula unit: 0.000
Crystal system: tetragonal
ΔE_f, eV per atom: 0.267
Total DFT energy (no corrections), eV/f.u.: -40.11